(1)
Crystalline Sr2Tl2Ag15 at its relaxed geometry, computed with PBE.

Cell: 7.4765 7.4765 7.4765 Å, 83.42 83.42 83.42°
Last column: nearest neighbours and their distance in Å.
Positions (direct):
Ag1 0.6524 0.6524 0.1633  8 Ag 2.83-2.99, 1 Tl 3.11
Ag2 0.8367 0.3476 0.3476  8 Ag 2.83-2.99, 1 Tl 3.11
Ag3 0.0000 0.3124 0.6876  8 Ag 2.86-3.11
Ag4 0.5000 0.0000 0.0000  8 Ag 2.86-2.91, 2 Tl 3.00
Ag5 0.3124 0.6876 0.0000  8 Ag 2.86-3.11
Ag6 0.0000 0.0000 0.5000  8 Ag 2.86-2.91, 2 Tl 3.00
Ag7 0.6876 0.3124 0.0000  8 Ag 2.86-3.11
Ag8 0.0000 0.6876 0.3124  8 Ag 2.86-3.11
Ag9 0.6876 0.0000 0.3124  8 Ag 2.86-3.11
Ag10 0.6524 0.1633 0.6524  8 Ag 2.83-2.99, 1 Tl 3.11
Ag11 0.3476 0.3476 0.8367  8 Ag 2.83-2.99, 1 Tl 3.11
Ag12 0.3124 0.0000 0.6876  8 Ag 2.86-3.11
Ag13 0.3476 0.8367 0.3476  8 Ag 2.83-2.99, 1 Tl 3.11
Ag14 0.1633 0.6524 0.6524  8 Ag 2.83-2.99, 1 Tl 3.11
Ag15 0.0000 0.5000 0.0000  8 Ag 2.86-2.91, 2 Tl 3.00
Tl1 0.8944 0.8944 0.8944  6 Ag 3.00-3.11, 1 Tl 3.03
Tl2 0.1056 0.1056 0.1056  6 Ag 3.00-3.11, 1 Tl 3.03
Sr1 0.3494 0.3494 0.3494  15 Ag 3.43-3.84, 1 Tl 3.50
Sr2 0.6506 0.6506 0.6506  15 Ag 3.43-3.84, 1 Tl 3.50

Properties
Magnetic moment in Bohr magnetons per cell: 0.00
Space-group type: R-3m (166)
Electronic total energy in eV per cell: -52.543
DFT formation energy in meV per atom: -88

(2)
Crystalline Ho6Ga5Ag at its relaxed geometry, computed with PBE.

Cell: 5.0567 7.1176 8.0021 Å, 90.00 71.58 90.00°
Last column: nearest neighbours and their distance in Å.
Positions (direct):
Ho1 0.5000 0.7464 0.0000  6 Ga 3.04-3.08, 2 Ag 3.11
Ho2 0.5000 0.2536 0.0000  6 Ga 3.04-3.08, 2 Ag 3.11
Ho3 0.1682 0.7490 0.6637  7 Ga 3.08-3.15, 1 Ag 3.12
Ho4 0.1682 0.2510 0.6637  7 Ga 3.08-3.15, 1 Ag 3.12
Ho5 0.8318 0.7490 0.3363  7 Ga 3.08-3.15, 1 Ag 3.12
Ho6 0.8318 0.2510 0.3363  7 Ga 3.08-3.15, 1 Ag 3.12
Ag1 0.0000 0.0000 0.0000  8 Ho 3.11-3.12
Ga1 0.6659 0.5000 0.6681  8 Ho 3.07-3.09
Ga2 0.3387 0.0000 0.3225  8 Ho 3.04-3.15
Ga3 0.3341 0.5000 0.3319  8 Ho 3.07-3.09
Ga4 0.0000 0.5000 0.0000  8 Ho 3.08-3.11
Ga5 0.6613 0.0000 0.6775  8 Ho 3.04-3.15

Properties
Magnetic moment in Bohr magnetons per cell: 0.00
Space-group type: Cmmm (65)
Electronic total energy in eV per cell: -51.911
DFT formation energy in meV per atom: -538

(3)
Crystalline FeSn2AsP at its relaxed geometry, computed with PBE.

Cell: 5.2947 4.5719 5.2947 Å, 90.00 90.00 90.00°
Last column: nearest neighbours and their distance in Å.
Positions (direct):
Sn1 0.0000 0.0000 0.5000  2 As 2.65
Sn2 0.5000 0.0000 0.0000  2 As 2.65
As1 0.0000 0.0000 0.0000  2 P 2.29
Fe1 0.5000 0.5000 0.5000  8 Sn 3.50, 4 P 3.74
P1 0.0000 0.5000 0.0000  2 As 2.29

Properties
Magnetic moment in Bohr magnetons per cell: 3.15
Space-group type: P4/mmm (123)
Electronic total energy in eV per cell: -21.003
DFT formation energy in meV per atom: 1105

(4)
Crystalline CeNdTmCd at its relaxed geometry, computed with PBE.

Cell: 5.4987 5.4987 5.4987 Å, 60.00 60.00 60.00°
Last column: nearest neighbours and their distance in Å.
Positions (direct):
Ce1 0.5000 0.5000 0.5000  4 Tm 3.37, 4 Cd 3.37
Tm1 0.2500 0.2500 0.2500  4 Nd 3.37, 4 Ce 3.37
Cd1 0.7500 0.7500 0.7500  4 Ce 3.37, 4 Nd 3.37
Nd1 0.0000 0.0000 0.0000  4 Cd 3.37, 4 Tm 3.37

Properties
Magnetic moment in Bohr magnetons per cell: 1.50
Space-group type: F-43m (216)
Electronic total energy in eV per cell: -16.042
DFT formation energy in meV per atom: 12

(5)
Crystalline CuAs2PdO6 at its relaxed geometry, computed with PBE.

Cell: 5.3008 7.6241 7.6241 Å, 84.88 73.94 73.94°
Last column: nearest neighbours and their distance in Å.
Positions (direct):
Pd1 0.7500 0.7301 0.2699  2 O 2.14
Pd2 0.2500 0.2699 0.7301  2 O 2.14
O1 0.8845 0.0380 0.2040  1 As 1.72, 1 Cu 1.91
O2 0.6155 0.7960 0.9620  1 As 1.72, 1 Cu 1.91
O3 0.4695 0.6134 0.6898  2 As 1.81-1.82
O4 0.6569 0.1284 0.5947  1 As 1.70
O5 0.8431 0.4053 0.8716  1 As 1.70
O6 0.3431 0.8716 0.4053  1 As 1.70
O7 0.5305 0.3866 0.3102  2 As 1.81-1.82
O8 0.9695 0.6898 0.6134  2 As 1.81-1.82
O9 0.3845 0.2040 0.0380  1 As 1.72, 1 Cu 1.91
O10 0.0305 0.3102 0.3866  2 As 1.81-1.82
O11 0.1155 0.9620 0.7960  1 As 1.72, 1 Cu 1.91
O12 0.1569 0.5947 0.1284  1 As 1.70
As1 0.2202 0.8057 0.6247  4 O 1.70-1.82
As2 0.2798 0.3753 0.1943  4 O 1.70-1.82
As3 0.7798 0.1943 0.3753  4 O 1.70-1.82
As4 0.7202 0.6247 0.8057  4 O 1.70-1.82
Cu1 0.2500 0.9005 0.0995  2 O 1.91
Cu2 0.7500 0.0995 0.9005  2 O 1.91

Properties
Magnetic moment in Bohr magnetons per cell: 2.08
Space-group type: C2/c (15)
Electronic total energy in eV per cell: -110.885

(6)
Crystalline RbUP at its relaxed geometry, computed with PBE.

Cell: 3.9186 16.5853 8.4916 Å, 21.94 90.00 96.78°
Last column: nearest neighbours and their distance in Å.
Positions (direct):
P1 0.1477 0.2955 0.6489  3 U 2.69-2.80
P2 0.8523 0.7045 0.3511  3 U 2.69-2.80
Rb1 0.3956 0.7912 0.5346  5 P 3.44-3.56, 1 Rb 3.62
Rb2 0.6044 0.2088 0.4654  5 P 3.44-3.56, 1 Rb 3.62
U1 0.6827 0.3654 0.7341  2 U 2.52, 3 P 2.69-2.80
U2 0.3173 0.6346 0.2659  2 U 2.52, 3 P 2.69-2.80

Properties
Magnetic moment in Bohr magnetons per cell: 0.54
Space-group type: C2/m (12)
Electronic total energy in eV per cell: -35.822
DFT formation energy in meV per atom: -82